Entry 1:
# PBE SrFe2Os, relaxed
data_SrFe2Os
_symmetry_space_group_name_H-M 'I m m 2'
_symmetry_Int_Tables_number 44
_cell_length_a 2.7867
_cell_length_b 4.9371
_cell_length_c 9.8748
_cell_angle_alpha 90.00
_cell_angle_beta 90.00
_cell_angle_gamma 90.00
loop_
_symmetry_equiv_pos_as_xyz
'x,y,z'
'-x,-y,z'
'-x,y,z'
'x,-y,z'
'x+1/2,y+1/2,z+1/2'
'-x+1/2,-y+1/2,z+1/2'
'-x+1/2,y+1/2,z+1/2'
'x+1/2,-y+1/2,z+1/2'
loop_
_atom_site_label
_atom_site_type_symbol
_atom_site_fract_x
_atom_site_fract_y
_atom_site_fract_z
Sr1 Sr 0.0000 0.0000 0.0000
Fe1 Fe 0.0000 0.0000 0.4975
Fe2 Fe 0.0000 0.5000 0.7876
Os1 Os 0.0000 0.5000 0.2127
# - Energy above the lowest structure with this stoichiometry: 458 meV/atom
# - DOS(E_F): 9.119 states/eV per cell
# - Calculated total energy: -53.28 eV for the cell shown
# - Calculated formation energy: 800 meV/atom


Entry 2:
# PBE SrFeOs2, relaxed
data_SrFeOs2
_symmetry_space_group_name_H-M 'P 4 m m'
_symmetry_Int_Tables_number 99
_cell_length_a 2.8891
_cell_length_b 2.8891
_cell_length_c 8.5310
_cell_angle_alpha 90.00
_cell_angle_beta 90.00
_cell_angle_gamma 90.00
loop_
_symmetry_equiv_pos_as_xyz
'x,y,z'
'-y,x,z'
'-x,-y,z'
'y,-x,z'
'-x,y,z'
'y,x,z'
'x,-y,z'
'-y,-x,z'
loop_
_atom_site_label
_atom_site_type_symbol
_atom_site_fract_x
_atom_site_fract_y
_atom_site_fract_z
Sr1 Sr 0.0000 0.0000 0.0000
Fe1 Fe 0.5000 0.5000 0.3078
Os1 Os 0.0000 0.0000 0.5126
Os2 Os 0.5000 0.5000 0.7049
# - Energy above the lowest structure with this stoichiometry: 344 meV/atom
# - DOS(E_F): 4.674 states/eV per cell
# - Calculated total energy: -30.05 eV for the cell shown
# - Calculated formation energy: 639 meV/atom


Entry 3:
# PBE Sr3FeOs, relaxed
data_Sr3FeOs
_symmetry_space_group_name_H-M 'P m -3 m'
_symmetry_Int_Tables_number 221
_symmetry_space_group_name_Hall '-P 4 2 3'
_cell_length_a 5.7528
_cell_length_b 5.7528
_cell_length_c 5.7528
_cell_angle_alpha 90.00
_cell_angle_beta 90.00
_cell_angle_gamma 90.00
loop_
_atom_site_label
_atom_site_type_symbol
_atom_site_fract_x
_atom_site_fract_y
_atom_site_fract_z
Sr1 Sr 0.0000 0.0000 0.5000
Fe1 Fe 0.5000 0.5000 0.5000
Os1 Os 0.0000 0.0000 0.0000
# - Energy above the lowest structure with this stoichiometry: 0 meV/atom
# - DOS(E_F): 8.140 states/eV per cell
# - Calculated total energy: -19.86 eV for the cell shown
# - Calculated formation energy: 976 meV/atom


Entry 4:
# PBE SrFe2Os, relaxed
data_SrFe2Os
_symmetry_space_group_name_H-M 'F m -3 m'
_symmetry_Int_Tables_number 225
_symmetry_space_group_name_Hall '-F 4 2 3'
_cell_length_a 6.5012
_cell_length_b 6.5012
_cell_length_c 6.5012
_cell_angle_alpha 90.00
_cell_angle_beta 90.00
_cell_angle_gamma 90.00
loop_
_atom_site_label
_atom_site_type_symbol
_atom_site_fract_x
_atom_site_fract_y
_atom_site_fract_z
Sr1 Sr 0.0000 0.0000 0.0000
Fe1 Fe 0.2500 0.2500 0.2500
Os1 Os 0.0000 0.0000 0.5000
# - Energy above the lowest structure with this stoichiometry: 556 meV/atom
# - DOS(E_F): 21.270 states/eV per cell
# - Calculated total energy: -104.99 eV for the cell shown
# - Calculated formation energy: 897 meV/atom


Entry 5:
# PBE SrFeOs2, relaxed
data_SrFeOs2
_symmetry_space_group_name_H-M 'R 3 m'
_symmetry_Int_Tables_number 160
_symmetry_space_group_name_Hall 'R 3 -2"'
_cell_length_a 4.3023
_cell_length_b 4.3023
_cell_length_c 16.6402
_cell_angle_alpha 90.00
_cell_angle_beta 90.00
_cell_angle_gamma 120.00
loop_
_atom_site_label
_atom_site_type_symbol
_atom_site_fract_x
_atom_site_fract_y
_atom_site_fract_z
Sr1 Sr 0.0000 0.0000 0.0000
Fe1 Fe 0.0000 0.0000 0.1919
Os1 Os 0.0000 0.0000 0.4871
Os2 Os 0.0000 0.0000 0.8120
# - Energy above the lowest structure with this stoichiometry: 0 meV/atom
# - DOS(E_F): 9.148 states/eV per cell
# - Calculated total energy: -94.28 eV for the cell shown
# - Calculated formation energy: 295 meV/atom


Entry 6:
# PBE SrFe2Os, relaxed
data_SrFe2Os
_symmetry_space_group_name_H-M 'R -3 m'
_symmetry_Int_Tables_number 166
_symmetry_space_group_name_Hall '-R 3 2"'
_cell_length_a 2.8537
_cell_length_b 2.8537
_cell_length_c 28.4585
_cell_angle_alpha 90.00
_cell_angle_beta 90.00
_cell_angle_gamma 120.00
loop_
_atom_site_label
_atom_site_type_symbol
_atom_site_fract_x
_atom_site_fract_y
_atom_site_fract_z
Sr1 Sr 0.0000 0.0000 0.0000
Fe1 Fe 0.0000 0.0000 0.2374
Os1 Os 0.0000 0.0000 0.5000
# - Energy above the lowest structure with this stoichiometry: 631 meV/atom
# - DOS(E_F): 16.518 states/eV per cell
# - Calculated total energy: -77.83 eV for the cell shown
# - Calculated formation energy: 973 meV/atom


Entry 7:
# PBE SrFeOs4, relaxed
data_SrFeOs4
_symmetry_space_group_name_H-M 'F -4 3 m'
_symmetry_Int_Tables_number 216
_symmetry_space_group_name_Hall 'F -4 2 3'
_cell_length_a 7.4922
_cell_length_b 7.4922
_cell_length_c 7.4922
_cell_angle_alpha 90.00
_cell_angle_beta 90.00
_cell_angle_gamma 90.00
loop_
_atom_site_label
_atom_site_type_symbol
_atom_site_fract_x
_atom_site_fract_y
_atom_site_fract_z
Sr1 Sr 0.0000 0.0000 0.0000
Fe1 Fe 0.2500 0.2500 0.7500
Os1 Os 0.1243 0.1243 0.3757
# - DOS(E_F): 32.438 states/eV per cell
# - Calculated total energy: -203.34 eV for the cell shown
# - Calculated formation energy: 705 meV/atom


Entry 8:
# PBE SrFeOs2, relaxed
data_SrFeOs2
_symmetry_space_group_name_H-M 'I 4/m m m'
_symmetry_Int_Tables_number 139
_symmetry_space_group_name_Hall '-I 4 2'
_cell_length_a 3.9385
_cell_length_b 3.9385
_cell_length_c 9.0646
_cell_angle_alpha 90.00
_cell_angle_beta 90.00
_cell_angle_gamma 90.00
loop_
_atom_site_label
_atom_site_type_symbol
_atom_site_fract_x
_atom_site_fract_y
_atom_site_fract_z
Sr1 Sr 0.0000 0.0000 0.0000
Fe1 Fe 0.0000 0.0000 0.5000
Os1 Os 0.0000 0.5000 0.2500
# - Energy above the lowest structure with this stoichiometry: 932 meV/atom
# - DOS(E_F): 12.348 states/eV per cell
# - Calculated total energy: -55.40 eV for the cell shown
# - Calculated formation energy: 1226 meV/atom


Entry 9:
# PBE SrFe2Os, relaxed
data_SrFe2Os
_symmetry_space_group_name_H-M 'I -4 m 2'
_symmetry_Int_Tables_number 119
_symmetry_space_group_name_Hall 'I -4 -2'
_cell_length_a 4.0497
_cell_length_b 4.0497
_cell_length_c 8.5437
_cell_angle_alpha 90.00
_cell_angle_beta 90.00
_cell_angle_gamma 90.00
loop_
_atom_site_label
_atom_site_type_symbol
_atom_site_fract_x
_atom_site_fract_y
_atom_site_fract_z
Sr1 Sr 0.0000 0.0000 0.0000
Fe1 Fe 0.0000 0.0000 0.5000
Fe2 Fe 0.0000 0.5000 0.7500
Os1 Os 0.0000 0.5000 0.2500
# - Energy above the lowest structure with this stoichiometry: 736 meV/atom
# - DOS(E_F): 9.691 states/eV per cell
# - Calculated total energy: -51.05 eV for the cell shown
# - Calculated formation energy: 1078 meV/atom


Entry 10:
# PBE Sr4FeOs, relaxed
data_Sr4FeOs
_symmetry_space_group_name_H-M 'F -4 3 m'
_symmetry_Int_Tables_number 216
_symmetry_space_group_name_Hall 'F -4 2 3'
_cell_length_a 9.1066
_cell_length_b 9.1066
_cell_length_c 9.1066
_cell_angle_alpha 90.00
_cell_angle_beta 90.00
_cell_angle_gamma 90.00
loop_
_atom_site_label
_atom_site_type_symbol
_atom_site_fract_x
_atom_site_fract_y
_atom_site_fract_z
Sr1 Sr 0.1243 0.1243 0.3757
Fe1 Fe 0.0000 0.0000 0.0000
Os1 Os 0.2500 0.2500 0.7500
# - DOS(E_F): 44.482 states/eV per cell
# - Calculated total energy: -67.59 eV for the cell shown
# - Calculated formation energy: 1587 meV/atom


Entry 11:
# PBE SrFe2Os, relaxed
data_SrFe2Os
_symmetry_space_group_name_H-M 'P m m m'
_symmetry_Int_Tables_number 47
_cell_length_a 3.0838
_cell_length_b 4.5415
_cell_length_c 4.8841
_cell_angle_alpha 90.00
_cell_angle_beta 90.00
_cell_angle_gamma 90.00
loop_
_symmetry_equiv_pos_as_xyz
'x,y,z'
'-x,-y,-z'
'-x,-y,z'
'x,y,-z'
'x,-y,-z'
'-x,y,z'
'-x,y,-z'
'x,-y,z'
loop_
_atom_site_label
_atom_site_type_symbol
_atom_site_fract_x
_atom_site_fract_y
_atom_site_fract_z
Sr1 Sr 0.0000 0.0000 0.0000
Fe1 Fe 0.0000 0.5000 0.5000
Fe2 Fe 0.5000 0.5000 0.0000
Os1 Os 0.5000 0.0000 0.5000
# - Energy above the lowest structure with this stoichiometry: 731 meV/atom
# - DOS(E_F): 4.710 states/eV per cell
# - Calculated total energy: -25.55 eV for the cell shown
# - Calculated formation energy: 1073 meV/atom


Entry 12:
# PBE SrFe2Os, relaxed
data_SrFe2Os
_symmetry_space_group_name_H-M 'R -3 m'
_symmetry_Int_Tables_number 166
_symmetry_space_group_name_Hall '-R 3 2"'
_cell_length_a 4.2109
_cell_length_b 4.2109
_cell_length_c 16.2208
_cell_angle_alpha 90.00
_cell_angle_beta 90.00
_cell_angle_gamma 120.00
loop_
_atom_site_label
_atom_site_type_symbol
_atom_site_fract_x
_atom_site_fract_y
_atom_site_fract_z
Sr1 Sr 0.0000 0.0000 0.0000
Fe1 Fe 0.0000 0.0000 0.1913
Os1 Os 0.0000 0.0000 0.5000
# - Energy above the lowest structure with this stoichiometry: 13 meV/atom
# - DOS(E_F): 21.716 states/eV per cell
# - Calculated total energy: -85.25 eV for the cell shown
# - Calculated formation energy: 355 meV/atom